Entry 1:
Computed, not measured: a geometry-optimized TaBeAg3 structure at the PBEsol level of DFT.

Calculated values
Crystal system = cubic
Formation enthalpy at 0 K = 0.74 eV/atom
SG = Pm-3m, No. 221

```
TaBeAg3
1.0
-2.9775 2.0110 2.3515
-1.5743 -3.7940 1.2513
2.6637 0.0056 3.3680
Ta Be Ag
1 1 3
direct
0.5000 0.5000 0.5000 Ta
0.0000 0.0000 0.0000 Be
0.0000 0.0000 0.5000 Ag
0.5000 0.0000 0.0000 Ag
0.0000 0.5000 0.0000 Ag
```

=====

Entry 2:
Computed, not measured: a geometry-optimized TcIr4 structure at the PBEsol level of DFT.

Calculated values
Crystal system = tetragonal
Formation enthalpy at 0 K = -0.12 eV/atom
SG = I4/m, No. 87

```
TcIr4
1.0
3.8216 0.0000 0.0000
1.9108 4.2798 0.0000
1.9108 0.0000 4.2798
Ir Tc
4 1
direct
0.6033 0.6002 0.1933 Ir
0.7966 0.8067 0.6002 Ir
0.3967 0.3998 0.8067 Ir
0.2034 0.1933 0.3998 Ir
0.0000 0.0000 0.0000 Tc
```

=====

Entry 3:
Computed, not measured: a geometry-optimized Ga3PtN structure at the PBEsol level of DFT.

Calculated values
Crystal system = cubic
SG = Pm-3m, No. 221
Uncorrected formation energy = 66.7 kJ per mole of atoms

```
Ga3PtN
1.0
4.7248 0.0000 0.0000
0.0000 4.7248 0.0000
0.0000 0.0000 4.7248
Ga Pt N
3 1 1
direct
0.0000 0.0000 0.5000 Ga
0.0000 0.5000 0.0000 Ga
0.5000 0.0000 0.0000 Ga
0.0000 0.0000 0.0000 Pt
0.5000 0.5000 0.5000 N
```

=====

Entry 4:
Computed, not measured: a geometry-optimized MnTe2Au structure at the PBEsol level of DFT.

Calculated values
Crystal system = tetragonal
SG = P4mm, No. 99
Distance to the lowest polymorph of the same formula = 36 meV per atom
Uncorrected formation energy = 7.3 kJ per mole of atoms

```
MnTe2Au
1.0
3.7558 0.0000 0.0000
0.0000 3.7558 0.0000
0.0000 0.0000 6.7801
Au Mn Te
1 1 2
direct
0.0000 0.0000 0.4969 Au
0.5000 0.5000 0.7482 Mn
0.5000 0.5000 0.3533 Te
0.0000 0.0000 0.9015 Te
```

=====

Entry 5:
Computed, not measured: a geometry-optimized AlCr5 structure at the PBEsol level of DFT.

Calculated values
Crystal system = monoclinic
Formation enthalpy at 0 K = -0.03 eV/atom
SG = C2/m, No. 12
Distance to the lowest polymorph of the same formula = 0 meV per atom

```
AlCr5
1.0
2.8372 0.0000 0.0000
-1.4186 4.4903 0.0007
0.0000 -1.8405 5.4507
Cr Al
5 1
direct
0.6775 0.3550 0.8297 Cr
0.3286 0.6572 0.6540 Cr
0.0000 0.0000 0.5000 Cr
0.6714 0.3428 0.3460 Cr
0.3225 0.6450 0.1703 Cr
0.0000 0.0000 0.0000 Al
```

=====

Entry 6:
Computed, not measured: a geometry-optimized Ag2Te4O11 structure at the PBEsol level of DFT.

Calculated values
Crystal system = triclinic
SG = P-1, No. 2
Uncorrected formation energy = -78.4 kJ per mole of atoms

```
Ag2Te4O11
1.0
7.3016 -0.0033 -0.0294
3.6449 6.4611 -0.0182
0.6663 1.4672 9.4422
O Ag Te
22 4 8
direct
0.9994 0.3818 0.7013 O
0.2228 0.9967 0.6353 O
0.4115 0.3597 0.7410 O
0.3904 0.0086 0.3308 O
0.5885 0.6403 0.2590 O
0.6096 0.9914 0.6692 O
0.2504 0.6919 0.8683 O
0.0006 0.6182 0.2987 O
0.9846 0.2415 0.3843 O
0.2988 0.3200 0.4950 O
0.6036 0.6024 0.7673 O
0.0154 0.7585 0.6157 O
0.7772 0.0033 0.3647 O
0.7012 0.6800 0.5050 O
0.8575 0.6782 0.8845 O
0.6945 0.9180 0.1111 O
0.1313 0.9412 0.1062 O
0.7496 0.3081 0.1317 O
0.3055 0.0820 0.8889 O
0.8687 0.0588 0.8938 O
0.3964 0.3976 0.2327 O
0.1425 0.3218 0.1155 O
0.4931 0.2746 0.9870 Ag
0.1689 0.8394 0.3582 Ag
0.5069 0.7254 0.0130 Ag
0.8311 0.1606 0.6418 Ag
0.6735 0.3252 0.3267 Te
0.9955 0.7835 0.0039 Te
0.3265 0.6748 0.6733 Te
0.0045 0.2165 0.9961 Te
0.3071 0.1826 0.6905 Te
0.8048 0.6872 0.6878 Te
0.6929 0.8174 0.3095 Te
0.1952 0.3128 0.3122 Te
```

=====

In eV per cell, the electronic total energy values for the records above are, in order, -22.804 -51.150 -22.052 -20.434 -55.474 -184.565.